# 1
The following is a DFT calculation (PBE) of Ag2Ge2Au after structural relaxation.

Cell lengths 3.880, 3.880, 13.146 Å; angles 90.00, 90.00, 90.00 degrees
Fractional coordinates of all 10 atoms:
Ag  0.000  0.500  0.250
Ag  0.000  0.500  0.750
Ag  0.500  0.000  0.250
Ag  0.500  0.000  0.750
Ge  0.000  0.000  0.094
Ge  0.000  0.000  0.906
Ge  0.500  0.500  0.406
Ge  0.500  0.500  0.594
Au  0.000  0.000  0.500
Au  0.500  0.500  0.000

Summary:
For the formation energy, the calculation gives 0.305 eV per atom. Its distance to the lowest polymorph of the same formula is 0.184 eV/atom.


# 2
The following is a DFT calculation (PBE) of Ag6GeAu2 after structural relaxation.

Cell lengths 8.323, 8.323, 4.994 Å; angles 97.65, 97.65, 73.30 degrees
Fractional coordinates of all 18 atoms:
Ag  0.072  0.816  0.976
Ag  0.154  0.408  0.138
Ag  0.184  0.928  0.524
Ag  0.266  0.515  0.688
Ag  0.408  0.154  0.638
Ag  0.485  0.734  0.812
Ag  0.515  0.266  0.188
Ag  0.592  0.846  0.362
Ag  0.734  0.485  0.312
Ag  0.816  0.072  0.476
Ag  0.846  0.592  0.862
Ag  0.928  0.184  0.024
Ge  0.376  0.624  0.250
Ge  0.624  0.376  0.750
Au  0.047  0.289  0.579
Au  0.289  0.047  0.079
Au  0.711  0.953  0.921
Au  0.953  0.711  0.421

Summary:
For the formation energy, the calculation gives 0.057 eV per atom.


# 3
The following is a DFT calculation (PBE) of Ag3GeAu3 after structural relaxation.

Cell lengths 5.477, 5.477, 8.992 Å; angles 93.98, 93.98, 98.67 degrees
Fractional coordinates of all 14 atoms:
Ag  0.174  0.826  0.000
Ag  0.231  0.769  0.500
Ag  0.368  0.368  0.099
Ag  0.632  0.632  0.901
Ag  0.769  0.231  0.500
Ag  0.826  0.174  0.000
Ge  0.309  0.309  0.531
Ge  0.691  0.691  0.469
Au  0.082  0.082  0.282
Au  0.096  0.451  0.772
Au  0.451  0.096  0.772
Au  0.549  0.904  0.228
Au  0.904  0.549  0.228
Au  0.918  0.918  0.718

Summary:
For the formation energy, the calculation gives 0.072 eV per atom.


# 4
The following is a DFT calculation (PBE) of AgGeAu14 after structural relaxation.

Cell lengths 9.731, 5.810, 5.810 Å; angles 62.05, 90.00, 90.00 degrees
Fractional coordinates of all 16 atoms:
Ag  0.000  0.000  0.000
Ge  0.000  0.503  0.503
Au  0.000  0.000  0.500
Au  0.000  0.500  0.000
Au  0.248  0.325  0.821
Au  0.248  0.821  0.325
Au  0.249  0.825  0.825
Au  0.251  0.323  0.323
Au  0.500  0.151  0.151
Au  0.500  0.151  0.652
Au  0.500  0.652  0.151
Au  0.500  0.652  0.652
Au  0.749  0.323  0.323
Au  0.751  0.825  0.825
Au  0.752  0.325  0.821
Au  0.752  0.821  0.325

Summary:
For the formation energy, the calculation gives 0.027 eV per atom.


# 5
The following is a DFT calculation (PBE) of Ag4GeAu3 after structural relaxation.

Cell lengths 13.539, 4.778, 4.787 Å; angles 90.00, 110.59, 90.00 degrees
Fractional coordinates of all 16 atoms:
Ag  0.123  0.000  0.124
Ag  0.249  0.500  0.248
Ag  0.251  0.000  0.752
Ag  0.377  0.500  0.876
Ag  0.623  0.500  0.124
Ag  0.749  0.000  0.248
Ag  0.751  0.500  0.752
Ag  0.877  0.000  0.876
Ge  0.000  0.000  0.500
Ge  0.500  0.500  0.500
Au  0.000  0.500  0.000
Au  0.124  0.500  0.624
Au  0.376  0.000  0.376
Au  0.500  0.000  0.000
Au  0.624  0.000  0.624
Au  0.876  0.500  0.376

Summary:
For the formation energy, the calculation gives 0.030 eV per atom.


# 6
The following is a DFT calculation (PBE) of AgGe3Au after structural relaxation.

Cell lengths 5.039, 5.039, 5.039 Å; angles 90.00, 90.00, 90.00 degrees
Fractional coordinates of all 5 atoms:
Ag  0.000  0.000  0.000
Ge  0.000  0.500  0.500
Ge  0.500  0.000  0.500
Ge  0.500  0.500  0.000
Au  0.500  0.500  0.500

Summary:
For the formation energy, the calculation gives 0.716 eV per atom. Its distance to the lowest polymorph of the same formula is 0.000 eV/atom.


# 7
The following is a DFT calculation (PBE) of Ag3GeAu12 after structural relaxation.

Cell lengths 4.199, 4.199, 16.434 Å; angles 90.00, 90.00, 90.00 degrees
Fractional coordinates of all 16 atoms:
Ag  0.000  0.000  0.000
Ag  0.000  0.000  0.248
Ag  0.000  0.000  0.752
Ge  0.000  0.000  0.500
Au  0.000  0.500  0.124
Au  0.000  0.500  0.374
Au  0.000  0.500  0.626
Au  0.000  0.500  0.876
Au  0.500  0.000  0.124
Au  0.500  0.000  0.374
Au  0.500  0.000  0.626
Au  0.500  0.000  0.876
Au  0.500  0.500  0.000
Au  0.500  0.500  0.249
Au  0.500  0.500  0.500
Au  0.500  0.500  0.751

Summary:
For the formation energy, the calculation gives -0.003 eV per atom.


# 8
The following is a DFT calculation (PBE) of Ag5GeAu4 after structural relaxation.

Cell lengths 2.919, 2.919, 21.155 Å; angles 90.00, 90.00, 90.00 degrees
Fractional coordinates of all 10 atoms:
Ag  0.000  0.000  0.000
Ag  0.000  0.000  0.199
Ag  0.000  0.000  0.398
Ag  0.000  0.000  0.602
Ag  0.000  0.000  0.801
Ge  0.500  0.500  0.500
Au  0.500  0.500  0.099
Au  0.500  0.500  0.298
Au  0.500  0.500  0.702
Au  0.500  0.500  0.901

Summary:
For the formation energy, the calculation gives 0.001 eV per atom.


# 9
The following is a DFT calculation (PBE) of Ag5GeAu6 after structural relaxation.

Cell lengths 5.080, 5.080, 9.859 Å; angles 95.33, 95.33, 120.15 degrees
Fractional coordinates of all 12 atoms:
Ag  0.000  0.000  0.000
Ag  0.166  0.834  0.500
Ag  0.333  0.667  0.000
Ag  0.667  0.333  0.000
Ag  0.834  0.166  0.500
Ge  0.500  0.500  0.500
Au  0.085  0.419  0.249
Au  0.248  0.248  0.752
Au  0.419  0.085  0.249
Au  0.581  0.915  0.751
Au  0.752  0.752  0.248
Au  0.915  0.581  0.751

Summary:
For the formation energy, the calculation gives 0.004 eV per atom. Its distance to the lowest polymorph of the same formula is 0.011 eV/atom.


# 10
The following is a DFT calculation (PBE) of Ag2GeAu6 after structural relaxation.

Cell lengths 7.088, 7.088, 4.261 Å; angles 107.40, 107.40, 67.86 degrees
Fractional coordinates of all 9 atoms:
Ag  0.137  0.137  0.138
Ag  0.863  0.863  0.862
Ge  0.500  0.500  0.500
Au  0.083  0.578  0.330
Au  0.304  0.696  0.000
Au  0.422  0.917  0.670
Au  0.578  0.083  0.330
Au  0.696  0.304  0.000
Au  0.917  0.422  0.670

Summary:
For the formation energy, the calculation gives 0.090 eV per atom. Its distance to the lowest polymorph of the same formula is 0.065 eV/atom.


# 11
The following is a DFT calculation (PBE) of Ag3GeAu6 after structural relaxation.

Cell lengths 7.780, 4.827, 10.179 Å; angles 90.00, 109.30, 90.00 degrees
Fractional coordinates of all 20 atoms:
Ag  0.100  0.250  0.231
Ag  0.299  0.250  0.033
Ag  0.306  0.750  0.368
Ag  0.694  0.250  0.632
Ag  0.701  0.750  0.967
Ag  0.900  0.750  0.769
Ge  0.115  0.750  0.578
Ge  0.885  0.250  0.422
Au  0.093  0.250  0.731
Au  0.101  0.750  0.068
Au  0.286  0.250  0.531
Au  0.300  0.750  0.868
Au  0.498  0.250  0.334
Au  0.500  0.250  0.832
Au  0.500  0.750  0.168
Au  0.502  0.750  0.666
Au  0.700  0.250  0.132
Au  0.714  0.750  0.469
Au  0.899  0.250  0.932
Au  0.907  0.750  0.269

Summary:
For the formation energy, the calculation gives -0.009 eV per atom. Its distance to the lowest polymorph of the same formula is 0.000 eV/atom.


# 12
The following is a DFT calculation (PBE) of Ag2GeAu6 after structural relaxation.

Cell lengths 8.226, 8.226, 2.918 Å; angles 94.15, 94.15, 57.90 degrees
Fractional coordinates of all 9 atoms:
Ag  0.184  0.184  0.485
Ag  0.816  0.816  0.515
Ge  0.500  0.500  0.000
Au  0.159  0.519  0.999
Au  0.176  0.824  0.500
Au  0.481  0.841  0.001
Au  0.519  0.159  0.999
Au  0.824  0.176  0.500
Au  0.841  0.481  0.001

Summary:
For the formation energy, the calculation gives 0.026 eV per atom. Its distance to the lowest polymorph of the same formula is 0.000 eV/atom.


# 13
The following is a DFT calculation (PBE) of Ag3GeAu after structural relaxation.

Cell lengths 5.116, 5.116, 5.116 Å; angles 90.00, 90.00, 90.00 degrees
Fractional coordinates of all 5 atoms:
Ag  0.000  0.000  0.500
Ag  0.000  0.500  0.000
Ag  0.500  0.000  0.000
Ge  0.500  0.500  0.500
Au  0.000  0.000  0.000

Summary:
For the formation energy, the calculation gives 0.770 eV per atom. Its distance to the lowest polymorph of the same formula is 0.695 eV/atom.


# 14
The following is a DFT calculation (PBE) of Ag4GeAu4 after structural relaxation.

Cell lengths 6.509, 6.509, 6.509 Å; angles 96.23, 96.23, 141.53 degrees
Fractional coordinates of all 9 atoms:
Ag  0.167  0.167  0.333
Ag  0.167  0.833  0.000
Ag  0.833  0.167  0.000
Ag  0.833  0.833  0.667
Ge  0.500  0.500  0.000
Au  0.170  0.500  0.670
Au  0.500  0.170  0.670
Au  0.500  0.830  0.330
Au  0.830  0.500  0.330

Summary:
For the formation energy, the calculation gives 0.016 eV per atom.


# 15
The following is a DFT calculation (PBE) of AgGeAu after structural relaxation.

Cell lengths 5.637, 7.315, 7.073 Å; angles 90.00, 127.86, 90.00 degrees
Fractional coordinates of all 12 atoms:
Ag  0.190  0.169  0.099
Ag  0.190  0.331  0.599
Ag  0.810  0.669  0.401
Ag  0.810  0.831  0.901
Ge  0.284  0.621  0.933
Ge  0.284  0.879  0.433
Ge  0.716  0.121  0.567
Ge  0.716  0.379  0.067
Au  0.224  0.552  0.273
Au  0.224  0.948  0.773
Au  0.776  0.052  0.227
Au  0.776  0.448  0.727

Summary:
For the formation energy, the calculation gives 0.053 eV per atom. Its distance to the lowest polymorph of the same formula is 0.000 eV/atom.


# 16
The following is a DFT calculation (PBE) of AgGe2Au8 after structural relaxation.

Cell lengths 7.866, 7.866, 6.553 Å; angles 105.66, 105.66, 31.02 degrees
Fractional coordinates of all 11 atoms:
Ag  0.000  0.000  0.000
Ge  0.283  0.283  0.348
Ge  0.717  0.717  0.652
Au  0.093  0.093  0.453
Au  0.181  0.181  0.914
Au  0.360  0.360  0.808
Au  0.457  0.457  0.270
Au  0.543  0.543  0.730
Au  0.640  0.640  0.192
Au  0.819  0.819  0.086
Au  0.907  0.907  0.547

Summary:
For the formation energy, the calculation gives 0.033 eV per atom.


# 17
The following is a DFT calculation (PBE) of Ag2GeAu7 after structural relaxation.

Cell lengths 13.076, 13.076, 13.076 Å; angles 162.50, 162.50, 24.84 degrees
Fractional coordinates of all 10 atoms:
Ag  0.169  0.169  0.000
Ag  0.831  0.831  0.000
Ge  0.500  0.500  0.000
Au  0.000  0.000  0.000
Au  0.089  0.589  0.500
Au  0.250  0.750  0.500
Au  0.411  0.911  0.500
Au  0.589  0.089  0.500
Au  0.750  0.250  0.500
Au  0.911  0.411  0.500

Summary:
For the formation energy, the calculation gives 0.118 eV per atom.


# 18
The following is a DFT calculation (PBE) of Ag2GeAu4 after structural relaxation.

Cell lengths 5.753, 5.589, 6.905 Å; angles 53.58, 51.42, 74.99 degrees
Fractional coordinates of all 7 atoms:
Ag  0.000  0.000  0.500
Ag  0.500  0.500  0.000
Ge  0.095  0.095  0.905
Au  0.508  0.993  0.492
Au  0.569  0.941  0.059
Au  0.941  0.569  0.431
Au  0.993  0.508  0.007

Summary:
For the formation energy, the calculation gives 0.070 eV per atom. Its distance to the lowest polymorph of the same formula is 0.008 eV/atom.


# 19
The following is a DFT calculation (PBE) of Ag3Ge2Au4 after structural relaxation.

Cell lengths 8.265, 8.265, 5.048 Å; angles 95.95, 95.95, 79.89 degrees
Fractional coordinates of all 18 atoms:
Ag  0.055  0.945  0.750
Ag  0.326  0.475  0.043
Ag  0.475  0.326  0.543
Ag  0.525  0.674  0.457
Ag  0.674  0.525  0.957
Ag  0.945  0.055  0.250
Ge  0.129  0.311  0.469
Ge  0.311  0.129  0.969
Ge  0.689  0.871  0.031
Ge  0.871  0.689  0.531
Au  0.004  0.314  0.948
Au  0.203  0.616  0.543
Au  0.314  0.004  0.448
Au  0.384  0.797  0.957
Au  0.616  0.203  0.043
Au  0.686  0.996  0.552
Au  0.797  0.384  0.457
Au  0.996  0.686  0.052

Summary:
For the formation energy, the calculation gives 0.045 eV per atom.


# 20
The following is a DFT calculation (PBE) of Ag12GeAu3 after structural relaxation.

Cell lengths 4.174, 4.174, 16.459 Å; angles 90.00, 90.00, 90.00 degrees
Fractional coordinates of all 16 atoms:
Ag  0.000  0.000  0.000
Ag  0.000  0.000  0.250
Ag  0.000  0.000  0.500
Ag  0.000  0.000  0.750
Ag  0.000  0.500  0.124
Ag  0.000  0.500  0.375
Ag  0.000  0.500  0.625
Ag  0.000  0.500  0.876
Ag  0.500  0.000  0.124
Ag  0.500  0.000  0.375
Ag  0.500  0.000  0.625
Ag  0.500  0.000  0.876
Ge  0.500  0.500  0.000
Au  0.500  0.500  0.250
Au  0.500  0.500  0.500
Au  0.500  0.500  0.750

Summary:
For the formation energy, the calculation gives 0.012 eV per atom.


# 21
The following is a DFT calculation (PBE) of Ag2GeAu9 after structural relaxation.

Cell lengths 4.181, 4.181, 12.462 Å; angles 90.00, 90.00, 90.00 degrees
Fractional coordinates of all 12 atoms:
Ag  0.000  0.000  0.166
Ag  0.000  0.000  0.834
Ge  0.000  0.000  0.500
Au  0.000  0.500  0.000
Au  0.000  0.500  0.332
Au  0.000  0.500  0.668
Au  0.500  0.000  0.000
Au  0.500  0.000  0.332
Au  0.500  0.000  0.668
Au  0.500  0.500  0.165
Au  0.500  0.500  0.500
Au  0.500  0.500  0.835

Summary:
For the formation energy, the calculation gives 0.007 eV per atom.


no.,Fermi-level density of states (states/eV/atom)
1,0.3649
2,0.3292
3,0.3117
4,0.4402
5,0.1745
6,0.2848
7,0.2689
8,0.4277
9,0.2232
10,0.3576
11,0.3224
12,0.2489
13,0.4042
14,0.3641
15,0.2587
16,0.3635
17,0.2671
18,0.3524
19,0.3516
20,0.3948
21,0.2198